1.
A geometry-optimized ThNiB4 structure. Source: OQMD, functional PBE.

electronic total energy = -6.636 eV/atom
magnetization = 0.00 Bohr magnetons per cell

a b c (Å): 5.1407 5.1407 5.1407
angles (deg): 143.92 118.71 73.23
Atoms (fractional coordinates):
B1 0.5627 0.2417 0.3210
B2 0.0793 0.7583 0.3210
B3 0.9207 0.2417 0.6790
B4 0.4373 0.7583 0.6790
Ni1 0.0000 0.0000 0.0000
Th1 0.5000 0.5000 0.0000



2.
A geometry-optimized ThNiB4 structure. Source: OQMD, functional PBE.

electronic total energy = -6.808 eV/atom
magnetization = 0.00 Bohr magnetons per cell

a b c (Å): 3.2363 3.2363 6.6934
angles (deg): 90.00 90.00 120.00
Atoms (fractional coordinates):
B1 0.6667 0.3333 0.3079
B2 0.3333 0.6667 0.3079
B3 0.6667 0.3333 0.6921
B4 0.3333 0.6667 0.6921
Ni1 0.0000 0.0000 0.5000
Th1 0.0000 0.0000 0.0000



3.
A geometry-optimized ThNiB structure. Source: OQMD, functional PBE.

electronic total energy = -6.394 eV/atom
magnetization = 0.00 Bohr magnetons per cell

a b c (Å): 4.2391 4.2391 4.2391
angles (deg): 60.00 60.00 60.00
Atoms (fractional coordinates):
B1 0.7500 0.7500 0.7500
Ni1 0.0000 0.0000 0.0000
Th1 0.2500 0.2500 0.2500



4.
A geometry-optimized ThNiB structure. Source: OQMD, functional PBE.

electronic total energy = -6.572 eV/atom
magnetization = 0.00 Bohr magnetons per cell

a b c (Å): 4.2161 4.2161 4.2161
angles (deg): 60.00 60.00 60.00
Atoms (fractional coordinates):
B1 0.0000 0.0000 0.0000
Ni1 0.2500 0.2500 0.2500
Th1 0.7500 0.7500 0.7500



5.
A geometry-optimized TlNiB structure. Source: OQMD, functional PBE.

electronic total energy = -3.499 eV/atom
magnetization = 0.03 Bohr magnetons per cell

a b c (Å): 4.1222 4.1222 4.1222
angles (deg): 60.00 60.00 60.00
Atoms (fractional coordinates):
B1 0.2500 0.2500 0.2500
Ni1 0.7500 0.7500 0.7500
Tl1 0.0000 0.0000 0.0000



6.
A geometry-optimized TlNiB structure. Source: OQMD, functional PBE.

electronic total energy = -4.081 eV/atom
magnetization = 0.01 Bohr magnetons per cell

a b c (Å): 3.9166 3.9166 3.9166
angles (deg): 60.00 60.00 60.00
Atoms (fractional coordinates):
B1 0.0000 0.0000 0.0000
Ni1 0.2500 0.2500 0.2500
Tl1 0.7500 0.7500 0.7500



7.
A geometry-optimized TlNiB2 structure. Source: OQMD, functional PBE.

electronic total energy = -3.610 eV/atom
magnetization = 0.00 Bohr magnetons per cell

a b c (Å): 4.1848 4.1848 4.1848
angles (deg): 60.00 60.00 60.00
Atoms (fractional coordinates):
B1 0.0000 0.0000 0.0000
B2 0.7500 0.7500 0.7500
Ni1 0.2500 0.2500 0.2500
Tl1 0.5000 0.5000 0.5000



8.
A geometry-optimized TmNi2B2 structure. Source: OQMD, functional PBE.

electronic total energy = -6.364 eV/atom
magnetization = 0.00 Bohr magnetons per cell

a b c (Å): 4.9194 4.9194 6.8769
angles (deg): 120.70 120.70 63.53
Atoms (fractional coordinates):
B1 0.4957 0.8435 0.0220
B2 0.1565 0.5043 0.4780
B3 0.8435 0.4957 0.5220
B4 0.5043 0.1565 0.9780
Ni1 0.7233 0.5331 0.2001
Ni2 0.4669 0.2767 0.2999
Ni3 0.5331 0.7233 0.7001
Ni4 0.2767 0.4669 0.7999
Tm1 0.1186 0.8814 0.2500
Tm2 0.8814 0.1186 0.7500



9.
A geometry-optimized Tm2Ni21B6 structure. Source: OQMD, functional PBE.

electronic total energy = -6.085 eV/atom
magnetization = 0.38 Bohr magnetons per cell

a b c (Å): 7.5419 7.5419 7.5419
angles (deg): 120.00 90.00 120.00
Site moments in Bohr magnetons follow the coordinates.
Atoms (fractional coordinates):
B1 0.7291 0.0000 0.2709  0.00
B2 0.2709 0.0000 0.2709  0.00
B3 0.2709 0.5417 0.2709  0.00
B4 0.7291 0.0000 0.7291  0.00
B5 0.2709 0.0000 0.7291  0.00
B6 0.7291 0.4583 0.7291  0.00
Ni1 0.0000 0.0000 0.0000  0.13
Ni2 0.3368 0.0000 0.0000  0.03
Ni3 0.6632 0.0000 0.0000  0.03
Ni4 0.0000 0.3368 0.0000  0.02
Ni5 0.3368 0.3368 0.0000  0.02
Ni6 0.0000 0.6632 0.0000  0.02
Ni7 0.6632 0.6632 0.0000  0.02
Ni8 0.3876 0.7751 0.1627  0.00
Ni9 0.0000 0.0000 0.3368  0.01
Ni10 0.0000 0.3368 0.3368  0.02
Ni11 0.3368 0.3368 0.3368  0.02
Ni12 0.6124 0.2249 0.3876  0.00
Ni13 0.1627 0.7751 0.3876  0.00
Ni14 0.6124 0.7751 0.3876  0.00
Ni15 0.3876 0.2249 0.6124  0.00
Ni16 0.8373 0.2249 0.6124  0.00
Ni17 0.3876 0.7751 0.6124  0.00
Ni18 0.0000 0.0000 0.6632  0.01
Ni19 0.0000 0.6632 0.6632  0.02
Ni20 0.6632 0.6632 0.6632  0.02
Ni21 0.6124 0.2249 0.8373  0.00
Tm1 0.7500 0.5000 0.2500  0.00
Tm2 0.2500 0.5000 0.7500  0.00



10.
A geometry-optimized TmNi12B6 structure. Source: OQMD, functional PBE.

electronic total energy = -6.247 eV/atom
magnetization = 0.01 Bohr magnetons per cell

a b c (Å): 6.0049 6.0049 6.0049
angles (deg): 104.46 104.46 104.46
Atoms (fractional coordinates):
B1 0.6733 0.2368 0.2368
B2 0.2368 0.6733 0.2368
B3 0.7632 0.7632 0.3267
B4 0.2368 0.2368 0.6733
B5 0.7632 0.3267 0.7632
B6 0.3267 0.7632 0.7632
Ni1 0.8700 0.5000 0.1300
Ni2 0.5000 0.8700 0.1300
Ni3 0.4513 0.4513 0.1858
Ni4 0.4513 0.1858 0.4513
Ni5 0.1858 0.4513 0.4513
Ni6 0.8700 0.1300 0.5000
Ni7 0.1300 0.8700 0.5000
Ni8 0.8142 0.5487 0.5487
Ni9 0.5487 0.8142 0.5487
Ni10 0.5487 0.5487 0.8142
Ni11 0.5000 0.1300 0.8700
Ni12 0.1300 0.5000 0.8700
Tm1 0.0000 0.0000 0.0000



11.
A geometry-optimized Tm4NiB13 structure. Source: OQMD, functional PBE.

electronic total energy = -6.640 eV/atom
magnetization = 0.00 Bohr magnetons per cell

a b c (Å): 7.2512 7.2512 6.7978
angles (deg): 90.00 90.00 90.00
Atoms (fractional coordinates):
B1 0.5000 0.5000 0.0000
B2 0.5398 0.3291 0.2427
B3 0.3291 0.4602 0.2427
B4 0.6709 0.5398 0.2427
B5 0.4602 0.6709 0.2427
B6 0.5912 0.0912 0.2500
B7 0.0912 0.4088 0.2500
B8 0.9088 0.5912 0.2500
B9 0.4088 0.9088 0.2500
B10 0.8291 0.0398 0.2573
B11 0.0398 0.1709 0.2573
B12 0.9602 0.8291 0.2573
B13 0.1709 0.9602 0.2573
B14 0.0000 0.0000 0.5000
B15 0.8291 0.0398 0.7427
B16 0.0398 0.1709 0.7427
B17 0.9602 0.8291 0.7427
B18 0.1709 0.9602 0.7427
B19 0.5912 0.0912 0.7500
B20 0.0912 0.4088 0.7500
B21 0.9088 0.5912 0.7500
B22 0.4088 0.9088 0.7500
B23 0.5398 0.3291 0.7573
B24 0.3291 0.4602 0.7573
B25 0.6709 0.5398 0.7573
B26 0.4602 0.6709 0.7573
Ni1 0.0000 0.0000 0.0000
Ni2 0.5000 0.5000 0.5000
Tm1 0.3200 0.1847 0.0000
Tm2 0.8153 0.3200 0.0000
Tm3 0.1847 0.6800 0.0000
Tm4 0.6800 0.8153 0.0000
Tm5 0.3153 0.1800 0.5000
Tm6 0.8200 0.3153 0.5000
Tm7 0.1800 0.6847 0.5000
Tm8 0.6847 0.8200 0.5000



12.
A geometry-optimized UNiB structure. Source: OQMD, functional PBE.

electronic total energy = -7.741 eV/atom
magnetization = 0.95 Bohr magnetons per cell

a b c (Å): 3.9937 3.9937 3.9937
angles (deg): 60.00 60.00 60.00
Site moments in Bohr magnetons follow the coordinates.
Atoms (fractional coordinates):
B1 0.0000 0.0000 0.0000  0.02
Ni1 0.2500 0.2500 0.2500  0.15
U1 0.7500 0.7500 0.7500  -1.05



13.
A geometry-optimized UNiB structure. Source: OQMD, functional PBE.

electronic total energy = -6.941 eV/atom
magnetization = 0.46 Bohr magnetons per cell

a b c (Å): 4.1812 4.1812 4.1812
angles (deg): 60.00 60.00 60.00
Atoms (fractional coordinates):
B1 0.2500 0.2500 0.2500
Ni1 0.7500 0.7500 0.7500
U1 0.0000 0.0000 0.0000



14.
A geometry-optimized UNiB structure. Source: OQMD, functional PBE.

electronic total energy = -8.113 eV/atom
magnetization = 0.18 Bohr magnetons per cell

a b c (Å): 6.5227 3.5479 6.6456
angles (deg): 90.00 90.00 90.00
Atoms (fractional coordinates):
B1 0.7947 0.2500 0.1225
B2 0.2947 0.2500 0.3775
B3 0.7053 0.7500 0.6225
B4 0.2053 0.7500 0.8775
Ni1 0.1235 0.2500 0.0606
Ni2 0.6235 0.2500 0.4394
Ni3 0.3765 0.7500 0.5606
Ni4 0.8765 0.7500 0.9394
U1 0.4889 0.7500 0.1453
U2 0.9889 0.7500 0.3547
U3 0.0111 0.2500 0.6453
U4 0.5111 0.2500 0.8547



15.
A geometry-optimized UNiB4 structure. Source: OQMD, functional PBE.

electronic total energy = -7.745 eV/atom
magnetization = 5.28 Bohr magnetons per cell

a b c (Å): 6.7666 6.7666 6.7666
angles (deg): 113.12 102.40 113.12
Site moments in Bohr magnetons follow the coordinates.
Atoms (fractional coordinates):
B1 0.7250 0.8353 0.1103  -0.01
B2 0.2750 0.3854 0.1103  -0.01
B3 0.5775 0.0000 0.1134  -0.01
B4 0.1134 0.5360 0.1134  -0.02
B5 0.8897 0.1647 0.2750  -0.01
B6 0.1103 0.3854 0.2750  -0.01
B7 0.8866 0.0000 0.4225  -0.02
B8 0.4225 0.5360 0.4225  -0.02
B9 0.1134 0.0000 0.5775  -0.02
B10 0.5775 0.4640 0.5775  -0.02
B11 0.8897 0.6146 0.7250  -0.01
B12 0.1103 0.8353 0.7250  -0.01
B13 0.4225 0.0000 0.8866  -0.01
B14 0.8866 0.4640 0.8866  -0.02
B15 0.2750 0.1647 0.8897  -0.01
B16 0.7250 0.6146 0.8897  -0.01
Ni1 0.5000 0.7724 0.2724  0.05
Ni2 0.7276 0.2276 0.5000  0.05
Ni3 0.2724 0.7724 0.5000  0.05
Ni4 0.5000 0.2276 0.7276  0.05
U1 0.1953 0.0000 0.1953  1.30
U2 0.7500 0.5000 0.2500  1.17
U3 0.2500 0.5000 0.7500  1.17
U4 0.8047 0.0000 0.8047  1.30



16.
A geometry-optimized UNiB structure. Source: OQMD, functional PBE.

electronic total energy = -7.445 eV/atom
magnetization = 0.87 Bohr magnetons per cell

a b c (Å): 4.0687 4.0687 4.0687
angles (deg): 60.00 60.00 60.00
Site moments in Bohr magnetons follow the coordinates.
Atoms (fractional coordinates):
B1 0.7500 0.7500 0.7500  -0.03
Ni1 0.0000 0.0000 0.0000  -0.09
U1 0.2500 0.2500 0.2500  0.93



17.
A geometry-optimized U2Ni21B6 structure. Source: OQMD, functional PBE.

electronic total energy = -6.516 eV/atom
magnetization = 1.12 Bohr magnetons per cell

a b c (Å): 7.5357 7.5357 7.5357
angles (deg): 120.00 90.00 120.00
Site moments in Bohr magnetons follow the coordinates.
Atoms (fractional coordinates):
B1 0.2651 0.0000 0.2651  0.00
B2 0.2651 0.5301 0.2651  0.00
B3 0.7349 0.0000 0.2651  0.00
B4 0.7349 0.0000 0.7349  0.00
B5 0.2651 0.0000 0.7349  0.00
B6 0.7349 0.4699 0.7349  0.00
Ni1 0.0000 0.0000 0.0000  -0.01
Ni2 0.3408 0.0000 0.0000  0.01
Ni3 0.6592 0.0000 0.0000  0.01
Ni4 0.0000 0.3408 0.0000  0.01
Ni5 0.3408 0.3408 0.0000  0.01
Ni6 0.0000 0.6592 0.0000  0.01
Ni7 0.6592 0.6592 0.0000  0.01
Ni8 0.3857 0.7715 0.1572  -0.01
Ni9 0.0000 0.0000 0.3408  0.01
Ni10 0.0000 0.3408 0.3408  0.01
Ni11 0.3408 0.3408 0.3408  0.01
Ni12 0.6143 0.2285 0.3857  -0.01
Ni13 0.1572 0.7715 0.3857  -0.01
Ni14 0.6143 0.7715 0.3857  -0.01
Ni15 0.8428 0.2285 0.6143  -0.01
Ni16 0.3857 0.2285 0.6143  -0.01
Ni17 0.3857 0.7715 0.6143  -0.01
Ni18 0.0000 0.0000 0.6592  0.01
Ni19 0.0000 0.6592 0.6592  0.01
Ni20 0.6592 0.6592 0.6592  0.01
Ni21 0.6143 0.2285 0.8428  -0.01
U1 0.7500 0.5000 0.2500  0.43
U2 0.2500 0.5000 0.7500  0.43



18.
A geometry-optimized NiB4W structure. Source: OQMD, functional PBE.

electronic total energy = -7.577 eV/atom
magnetization = 0.00 Bohr magnetons per cell

a b c (Å): 2.9739 2.9739 6.5939
angles (deg): 90.00 90.00 120.00
Atoms (fractional coordinates):
B1 0.6667 0.3333 0.2436
B2 0.3333 0.6667 0.2436
B3 0.6667 0.3333 0.7564
B4 0.3333 0.6667 0.7564
Ni1 0.0000 0.0000 0.0000
W1 0.0000 0.0000 0.5000



19.
A geometry-optimized NiB2W3 structure. Source: OQMD, functional PBE.

electronic total energy = -9.805 eV/atom
magnetization = 0.00 Bohr magnetons per cell

a b c (Å): 5.5203 4.4805 4.5884
angles (deg): 74.98 51.62 53.40
Atoms (fractional coordinates):
B1 0.2499 0.2499 0.2501
B2 0.7499 0.7499 0.7501
Ni1 0.1714 0.1714 0.8286
W1 0.8269 0.8269 0.1731
W2 0.3392 0.6628 0.3372
W3 0.6628 0.3392 0.6608



20.
A geometry-optimized Ni2BW structure. Source: OQMD, functional PBE.

electronic total energy = -7.490 eV/atom
magnetization = 0.00 Bohr magnetons per cell

a b c (Å): 3.9568 3.9568 3.9568
angles (deg): 60.00 60.00 60.00
Atoms (fractional coordinates):
B1 0.5000 0.5000 0.5000
Ni1 0.0000 0.0000 0.0000
Ni2 0.7500 0.7500 0.7500
W1 0.2500 0.2500 0.2500